A geometry-optimized Ac3LaSm2 structure, computed with PBE-GGA.

## Properties
The calculation puts the energy relative to the lowest polymorph listed for this composition at 0.257 eV per atom. Its formation energy is 0.332 eV per atom.

Cell lengths 11.017, 11.017, 11.017 Å; angles 160.64, 146.44, 39.03 degrees
Atoms (fractional coordinates):
Ac: 0.000 0.000 0.000
Ac: 0.311 0.811 0.500
Ac: 0.689 0.189 0.500
La: 0.500 0.000 0.500
Sm: 0.138 0.638 0.500
Sm: 0.862 0.362 0.500

A geometry-optimized ReRu2Cl structure, computed with PBE-GGA.

## Properties
As for the formation energy from raw total energies: 1.01 eV per atom. The calculation puts the energy relative to the lowest polymorph listed for this composition at 0.712 eV per atom.

Cell lengths 4.393, 4.393, 4.393 Å; angles 60.00, 60.00, 60.00 degrees
Atoms (fractional coordinates):
Re: 0.000 0.000 0.000
Ru: 0.250 0.250 0.250
Ru: 0.750 0.750 0.750
Cl: 0.500 0.500 0.500

A geometry-optimized TaTc2Se structure, computed with PBE-GGA.

## Properties
As for the formation energy from raw total energies: -0.08 eV per atom.

Cell lengths 3.168, 3.168, 6.302 Å; angles 90.00, 90.00, 90.00 degrees
Atoms (fractional coordinates):
Ta: 0.000 0.000 0.000
Tc: 0.500 0.500 0.250
Tc: 0.500 0.500 0.750
Se: 0.000 0.000 0.500

A geometry-optimized SiMo2Au structure, computed with PBE-GGA.

## Properties
As for the formation energy from raw total energies: 0.17 eV per atom.

Cell lengths 2.787, 2.787, 8.580 Å; angles 90.00, 90.00, 106.60 degrees
Atoms (fractional coordinates):
Si: 0.000 0.000 0.000
Mo: 0.000 0.000 0.525
Mo: 0.500 0.500 0.775
Au: 0.500 0.500 0.253

A geometry-optimized AcZr2Os structure, computed with PBE-GGA.

## Properties
Its formation energy is -0.034 eV per atom.

Cell lengths 3.380, 3.380, 8.393 Å; angles 90.00, 90.00, 90.00 degrees
Atoms (fractional coordinates):
Ac: 0.000 0.000 0.000
Zr: 0.500 0.500 0.314
Zr: 0.500 0.500 0.686
Os: 0.000 0.000 0.500

A geometry-optimized MnTe4Pd structure, computed with PBE-GGA.

## Properties
As for the formation energy from raw total energies: -0.25 eV per atom.

Cell lengths 5.575, 3.998, 6.945 Å; angles 90.00, 90.49, 90.00 degrees
Atoms (fractional coordinates):
Mn: 0.000 0.000 0.000
Te: 0.250 0.000 0.327
Te: 0.258 0.500 0.840
Te: 0.742 0.500 0.160
Te: 0.750 0.000 0.673
Pd: 0.000 0.500 0.500

A geometry-optimized Tl6Hg2SeS2 structure, computed with PBE-GGA.

## Properties
As for the formation energy from raw total energies: -0.27 eV per atom.

Cell lengths 7.504, 7.504, 8.474 Å; angles 98.30, 98.30, 119.99 degrees
Atoms (fractional coordinates):
Tl: 0.088 0.429 0.795
Tl: 0.215 0.215 0.198
Tl: 0.429 0.088 0.795
Tl: 0.571 0.912 0.205
Tl: 0.785 0.785 0.802
Tl: 0.912 0.571 0.205
Hg: 0.345 0.655 0.500
Hg: 0.655 0.345 0.500
Se: 0.500 0.500 0.000
S: 0.174 0.826 0.000
S: 0.826 0.174 0.000

A geometry-optimized Tb2SiSb structure, computed with PBE-GGA.

## Properties
As for the formation energy from raw total energies: -0.89 eV per atom. The calculation puts the energy relative to the lowest polymorph listed for this composition at 0.000 eV per atom.

Cell lengths 11.751, 11.751, 4.077 Å; angles 90.00, 90.00, 158.26 degrees
Atoms (fractional coordinates):
Tb: 0.061 0.939 0.750
Tb: 0.325 0.675 0.750
Tb: 0.675 0.325 0.250
Tb: 0.939 0.061 0.250
Si: 0.463 0.537 0.750
Si: 0.537 0.463 0.250
Sb: 0.190 0.810 0.750
Sb: 0.810 0.190 0.250

A geometry-optimized Sc5Ni2 structure, computed with PBE-GGA.

## Properties
The calculation puts the energy relative to the lowest polymorph listed for this composition at 0.000 eV per atom. Its formation energy is -0.307 eV per atom.

Cell lengths 8.099, 8.099, 6.327 Å; angles 95.62, 95.62, 43.38 degrees
Atoms (fractional coordinates):
Sc: 0.063 0.937 0.750
Sc: 0.158 0.282 0.309
Sc: 0.282 0.158 0.809
Sc: 0.286 0.525 0.074
Sc: 0.475 0.714 0.426
Sc: 0.525 0.286 0.574
Sc: 0.714 0.475 0.926
Sc: 0.718 0.842 0.191
Sc: 0.842 0.718 0.691
Sc: 0.937 0.063 0.250
Ni: 0.103 0.676 0.438
Ni: 0.324 0.897 0.062
Ni: 0.676 0.103 0.938
Ni: 0.897 0.324 0.562

A geometry-optimized CsRb2AgPb structure, computed with PBE-GGA.

## Properties
The calculation puts the energy relative to the lowest polymorph listed for this composition at 0.000 eV per atom. Its formation energy is 0.041 eV per atom.

Cell lengths 6.900, 6.900, 5.547 Å; angles 90.00, 90.00, 90.00 degrees
Atoms (fractional coordinates):
Cs: 0.000 0.000 0.000
Rb: 0.000 0.500 0.500
Rb: 0.500 0.000 0.500
Ag: 0.500 0.500 0.500
Pb: 0.500 0.500 0.000

A geometry-optimized CaTl2Cl structure, computed with PBE-GGA.

## Properties
As for the formation energy from raw total energies: -0.50 eV per atom. The calculation puts the energy relative to the lowest polymorph listed for this composition at 0.334 eV per atom.

Cell lengths 5.459, 5.459, 3.907 Å; angles 90.00, 90.00, 90.00 degrees
Atoms (fractional coordinates):
Ca: 0.000 0.000 0.000
Tl: 0.000 0.500 0.500
Tl: 0.500 0.000 0.500
Cl: 0.500 0.500 0.000

A geometry-optimized Cs2RbIBr6 structure, computed with PBE-GGA.

## Properties
As for the formation energy from raw total energies: -1.00 eV per atom.

Cell lengths 9.264, 9.264, 9.264 Å; angles 126.31, 126.31, 79.39 degrees
Atoms (fractional coordinates):
Cs: 0.250 0.750 0.500
Cs: 0.750 0.250 0.500
Rb: 0.000 0.000 0.000
I: 0.500 0.500 0.000
Br: 0.230 0.230 0.000
Br: 0.274 0.274 0.548
Br: 0.274 0.726 0.000
Br: 0.726 0.274 0.000
Br: 0.726 0.726 0.452
Br: 0.770 0.770 0.000

Across the entries above, E_tot takes the values -4.12 -7.20 -9.10 -7.42 -8.14 -4.74 -2.68 -5.59 -6.48 -1.83 -2.65 -2.42 eV per atom, respectively.